First-principles (PBE-GGA) data for an optimized crystal structure of NdSm6Ho12, as listed in the Alexandria database.

Structure (extended XYZ):
```
19
Lattice="8.5095 0.5255 0.6295 -0.7707 8.4908 0.6295 -0.7707 -0.8979 8.4666" Properties=species:S:1:pos:R:3 pbc="T T T"
Sm 0.3942 6.1662 2.8801
Ho 4.0007 1.6210 4.4729
Sm 6.5739 1.9522 6.8455
Ho 6.7789 7.2243 6.3582
Sm 0.9330 5.5213 7.9078
Sm 5.3160 7.4662 3.1440
Ho 3.8798 7.4532 8.2442
Ho 5.9724 4.4681 4.7938
Ho 0.9958 3.6503 4.9318
Ho 2.9675 6.4973 5.2528
Ho 0.8551 3.2556 0.9192
Sm 6.0351 2.5971 1.8178
Ho 6.1131 4.8628 8.8065
Ho 3.5110 3.5407 7.3314
Sm 1.6521 0.6522 6.5816
Ho 0.1893 0.8941 3.3675
Ho 3.4572 4.5777 2.3942
Nd 0.0000 0.0000 0.0000
Ho 3.0884 0.6652 1.4815
```

Output
Distance to the lowest polymorph of the same formula: 167 meV/atom
E_form: 0.184 eV per atom


First-principles (PBE-GGA) data for an optimized crystal structure of Nd2TlBi, as listed in the Alexandria database.

Structure (extended XYZ):
```
16
Lattice="4.3119 0.0000 0.0000 0.0000 8.5092 0.0000 0.0000 0.0000 14.9069" Properties=species:S:1:pos:R:3 pbc="T T T"
Nd 1.0780 2.6718 3.9106
Nd 3.2339 5.8374 10.9964
Tl 3.2339 8.1007 8.6702
Nd 1.0780 6.9264 3.5429
Tl 1.0780 0.4084 6.2368
Nd 1.0780 1.6427 0.1166
Bi 3.2339 4.8465 5.0773
Nd 3.2339 6.8664 14.7903
Nd 3.2339 1.5828 11.3640
Bi 3.2339 0.5919 2.3762
Tl 1.0780 4.6630 1.2167
Nd 1.0780 5.8973 7.3369
Bi 1.0780 7.9172 12.5308
Bi 1.0780 3.6626 9.8296
Tl 3.2339 3.8462 13.6902
Nd 3.2339 2.6118 7.5701
```

Output
Distance to the lowest polymorph of the same formula: 136 meV/atom
E_form: -0.503 eV per atom


First-principles (PBE-GGA) data for an optimized crystal structure of La2Ga4SnPt3, as listed in the Alexandria database.

Structure (extended XYZ):
```
10
Lattice="-2.1448 2.7397 -2.6808 -1.1156 -3.3851 -2.5670 -8.9805 -1.4021 5.7521" Properties=species:S:1:pos:R:3 pbc="T T T"
Ga -6.9012 0.4598 2.3930
La -7.4042 -2.7615 3.1017
Ga 0.0000 0.0000 0.0000
Sn -6.1205 -1.0238 0.2522
Ga -3.7095 -2.1846 0.7352
Pt -4.4902 -0.7011 2.8760
Pt -8.9555 0.1391 3.7088
La -3.2066 1.0367 0.0265
Ga -1.6302 -0.3227 -2.6239
Pt -1.6553 -1.8639 -0.5806
```

Output
E_form: -0.887 eV per atom


First-principles (PBE-GGA) data for an optimized crystal structure of FeAsRuBr2, as listed in the Alexandria database.

Structure (extended XYZ):
```
5
Lattice="5.1853 0.0000 0.0000 0.0000 5.1853 0.0000 0.0000 0.0000 4.6441" Properties=species:S:1:pos:R:3 pbc="T T T"
Br 2.5926 0.0000 0.0000
Fe 2.5926 2.5926 2.3221
As 0.0000 0.0000 2.3221
Br 0.0000 2.5926 0.0000
Ru 0.0000 0.0000 0.0000
```

Output
Distance to the lowest polymorph of the same formula: 0 meV/atom
E_form (uncorrected): 0.78 eV/atom


First-principles (PBE-GGA) data for an optimized crystal structure of Ce2ZnTcGe6, as listed in the Alexandria database.

Structure (extended XYZ):
```
10
Lattice="0.5804 -0.8942 -8.1440 4.8546 -3.6194 -0.2314 -0.4729 -5.3783 -2.7976" Properties=species:S:1:pos:R:3 pbc="T T T"
Ce 1.6624 -4.5275 -7.9041
Ge 4.1778 -3.8155 -6.2060
Ce 3.2997 -5.3644 -3.2688
Ge 0.7844 -6.0764 -4.9670
Ge 0.9605 -3.3522 -2.8005
Zn 2.7175 -2.2568 -4.1877
Tc 0.0000 0.0000 0.0000
Ge 3.1748 -2.6239 -1.7640
Ge 1.7873 -7.2680 -9.4090
Ge 4.0017 -6.5397 -8.3724
```

Output
E_form: -0.212 eV per atom


First-principles (PBE-GGA) data for an optimized crystal structure of LaLuTh2, as listed in the Alexandria database.

Structure (extended XYZ):
```
4
Lattice="3.5572 0.0000 0.0000 0.0000 3.5572 0.0000 0.0000 0.0000 10.2236" Properties=species:S:1:pos:R:3 pbc="T T T"
Lu 1.7786 1.7786 0.0000
La 1.7786 1.7786 5.1118
Th 0.0000 0.0000 2.4702
Th 0.0000 0.0000 7.7534
```

Output
Distance to the lowest polymorph of the same formula: 0 meV/atom
E_form: 0.063 eV per atom


First-principles (PBE-GGA) data for an optimized crystal structure of Pt4Pb, as listed in the Alexandria database.

Structure (extended XYZ):
```
5
Lattice="4.1449 -2.6814 -0.7302 -1.2068 3.0821 3.7347 -3.3081 -3.6586 0.7575" Properties=species:S:1:pos:R:3 pbc="T T T"
Pt 2.1501 -1.6835 1.0874
Pt 0.1676 -0.5731 2.8781
Pt -0.5376 -2.6849 0.8839
Pb 0.0000 0.0000 0.0000
Pt -2.5201 -1.5744 2.6745
```

Output
Distance to the lowest polymorph of the same formula: 0 meV/atom
E_form: 0.019 eV per atom


First-principles (PBE-GGA) data for an optimized crystal structure of Tb6Pm3NdY2, as listed in the Alexandria database.

Structure (extended XYZ):
```
12
Lattice="6.2272 0.0009 0.0111 -3.1113 5.3942 0.0111 -1.0550 -1.8268 11.7292" Properties=species:S:1:pos:R:3 pbc="T T T"
Pm 1.0304 1.7842 5.8757
Tb -0.0124 3.5729 8.8232
Y 0.0008 3.5969 0.0111
Tb 2.0740 3.5911 2.9383
Tb 3.1009 1.7748 8.8232
Tb 2.0732 -0.0045 2.9282
Nd 0.0000 0.0000 0.0000
Tb -1.0400 1.7935 2.9282
Pm 4.1412 -0.0124 5.8757
Pm -2.0803 3.5807 5.8757
Y 3.1151 1.7982 0.0111
Tb -0.0132 -0.0228 8.8132
```

Output
E_form: 0.014 eV per atom


First-principles (PBE-GGA) data for an optimized crystal structure of NpPaSe2, as listed in the Alexandria database.

Structure (extended XYZ):
```
4
Lattice="3.5416 0.0000 0.0000 0.0000 5.0309 0.0000 0.0000 0.0000 5.0309" Properties=species:S:1:pos:R:3 pbc="T T T"
Se 0.0000 2.5155 0.0000
Np 1.7708 0.0000 0.0000
Pa 1.7708 2.5155 2.5155
Se 0.0000 0.0000 2.5155
```

Output
Distance to the lowest polymorph of the same formula: 207 meV/atom
E_form (uncorrected): -0.95 eV/atom


First-principles (PBE-GGA) data for an optimized crystal structure of Tb5Sn2Te2, as listed in the Alexandria database.

Structure (extended XYZ):
```
18
Lattice="7.7177 0.0000 0.0000 0.0000 8.2533 0.0000 -3.8588 -4.1267 8.5389" Properties=species:S:1:pos:R:3 pbc="T T T"
Tb 5.0736 0.0616 4.2695
Tb -2.1919 -2.1693 7.5552
Te 0.2288 1.3382 4.2695
Tb -1.2148 4.1883 4.2695
Sn 3.5199 0.1479 7.1026
Tb -1.6669 1.9574 7.5552
Tb 1.1474 -1.2645 2.6362
Tb 5.5258 6.0840 0.9838
Sn 3.5199 0.1479 1.4364
Te 3.6301 5.4648 4.2695
Sn 0.3390 4.2745 7.1026
Te 0.0000 7.9454 0.0000
Tb 1.1474 -1.2645 5.9027
Sn 0.3390 4.2745 1.4364
Te 3.8588 3.8187 0.0000
Tb 2.7115 2.8621 2.6362
Tb 2.7115 2.8621 5.9027
Tb 6.0508 1.9574 0.9838
```

Output
Distance to the lowest polymorph of the same formula: 227 meV/atom
E_form (uncorrected): -0.77 eV/atom


First-principles (PBE-GGA) data for an optimized crystal structure of Cs4KHg2, as listed in the Alexandria database.

Structure (extended XYZ):
```
7
Lattice="7.9314 0.0000 0.0000 0.0000 7.9314 0.0000 3.9657 3.9657 9.8343" Properties=species:S:1:pos:R:3 pbc="T T T"
Hg 3.9657 3.9657 1.4959
Cs 3.9657 0.0000 0.0000
Cs 3.9657 3.9657 5.2085
K 0.0000 0.0000 0.0000
Hg 7.9314 7.9314 8.3384
Cs 0.0000 3.9657 0.0000
Cs 7.9314 7.9314 4.6258
```

Output
E_form: 0.007 eV per atom


First-principles (PBE-GGA) data for an optimized crystal structure of La3Dy3Er, as listed in the Alexandria database.

Structure (extended XYZ):
```
14
Lattice="-8.8341 -0.0166 -0.7161 -5.0320 -0.8339 7.2482 -4.6970 6.7784 2.9379" Properties=species:S:1:pos:R:3 pbc="T T T"
Dy -8.7965 1.6152 7.7135
Dy -6.8183 2.1787 2.6755
La -10.0376 0.9782 1.2380
La -6.8698 5.5637 2.6933
Dy -11.7448 3.7491 6.7945
Dy -12.1973 2.0343 3.4862
Dy -6.3658 3.8935 5.9839
La -8.5255 4.9496 8.2320
Dy -9.7666 4.3126 1.7566
La -11.6933 0.3642 6.7767
Er -9.2491 -0.0967 4.4054
La -6.0397 0.5683 5.4385
Er -9.3140 6.0245 5.0646
La -12.5234 5.3596 4.0315
```

Output
E_form: 0.259 eV per atom